(1)
# CeTcB (PBE, optimized geometry)
data_CeTcB
_cell_length_a 4.1256
_cell_length_b 3.7714
_cell_length_c 3.7714
_cell_angle_alpha 120.00
_cell_angle_beta 90.00
_cell_angle_gamma 90.00
_symmetry_space_group_name_H-M 'P 1'
_symmetry_Int_Tables_number 1
loop_
_symmetry_equiv_pos_as_xyz
'x,y,z'
loop_
_atom_site_label
_atom_site_type_symbol
_atom_site_fract_x
_atom_site_fract_y
_atom_site_fract_z
_atom_site_occupancy
Ce1 Ce 0.6666 0.6667 0.3333 1
B1 B 0.1667 0.0000 0.0000 1
Tc1 Tc 0.1667 0.3333 0.6667 1
# **ΔH_f (0 K)**: -0.195 eV per atom

***

(2)
# CeTcB4 (PBE, optimized geometry)
data_CeTcB4
_cell_length_a 3.1374
_cell_length_b 4.8857
_cell_length_c 4.8857
_cell_angle_alpha 66.61
_cell_angle_beta 71.27
_cell_angle_gamma 71.27
_symmetry_space_group_name_H-M 'P 1'
_symmetry_Int_Tables_number 1
loop_
_symmetry_equiv_pos_as_xyz
'x,y,z'
loop_
_atom_site_label
_atom_site_type_symbol
_atom_site_fract_x
_atom_site_fract_y
_atom_site_fract_z
_atom_site_occupancy
B1 B 0.7523 0.5811 0.9143 1
B2 B 0.7523 0.9143 0.5811 1
Tc1 Tc 0.5000 0.5000 0.5000 1
B3 B 0.2477 0.0857 0.4189 1
Ce1 Ce 0.0000 0.0000 0.0000 1
B4 B 0.2477 0.4189 0.0857 1
# **ΔH_f (0 K)**: -0.209 eV per atom

***

(3)
# CeTc3B (PBE, optimized geometry)
data_CeTc3B
_cell_length_a 4.2709
_cell_length_b 4.2709
_cell_length_c 4.2709
_cell_angle_alpha 90.00
_cell_angle_beta 90.00
_cell_angle_gamma 90.00
_symmetry_space_group_name_H-M 'P 1'
_symmetry_Int_Tables_number 1
loop_
_symmetry_equiv_pos_as_xyz
'x,y,z'
loop_
_atom_site_label
_atom_site_type_symbol
_atom_site_fract_x
_atom_site_fract_y
_atom_site_fract_z
_atom_site_occupancy
Tc1 Tc 0.5000 0.0000 0.0000 1
B1 B 0.0000 0.0000 0.0000 1
Tc2 Tc 0.0000 0.0000 0.5000 1
Tc3 Tc 0.0000 0.5000 0.0000 1
Ce1 Ce 0.5000 0.5000 0.5000 1
# **ΔH_f (0 K)**: -0.041 eV per atom

***

(4)
# CeTc4B4 (PBE, optimized geometry)
data_CeTc4B4
_cell_length_a 4.2459
_cell_length_b 7.4121
_cell_length_c 7.4121
_cell_angle_alpha 90.00
_cell_angle_beta 90.00
_cell_angle_gamma 90.00
_symmetry_space_group_name_H-M 'P 1'
_symmetry_Int_Tables_number 1
loop_
_symmetry_equiv_pos_as_xyz
'x,y,z'
loop_
_atom_site_label
_atom_site_type_symbol
_atom_site_fract_x
_atom_site_fract_y
_atom_site_fract_z
_atom_site_occupancy
Tc1 Tc 0.1269 0.1309 0.6258 1
B1 B 0.8727 0.6720 0.1906 1
B2 B 0.1273 0.1906 0.3280 1
Tc2 Tc 0.8731 0.6258 0.8691 1
Tc3 Tc 0.6269 0.8742 0.6309 1
B3 B 0.6273 0.8280 0.3094 1
Tc4 Tc 0.6269 0.1258 0.3691 1
Ce1 Ce 0.0000 0.0000 0.0000 1
B4 B 0.8727 0.3280 0.8094 1
B5 B 0.1273 0.8094 0.6720 1
Tc5 Tc 0.3731 0.3691 0.8742 1
Ce2 Ce 0.5000 0.5000 0.5000 1
B6 B 0.3727 0.3094 0.1720 1
B7 B 0.3727 0.6906 0.8280 1
B8 B 0.6273 0.1720 0.6906 1
Tc6 Tc 0.1269 0.8691 0.3742 1
Tc7 Tc 0.8731 0.3742 0.1309 1
Tc8 Tc 0.3731 0.6309 0.1258 1
# **ΔH_f (0 K)**: -0.405 eV per atom

***

(5)
# Ce2Tc12B7 (PBE, optimized geometry)
data_Ce2Tc12B7
_cell_length_a 3.0444
_cell_length_b 10.1442
_cell_length_c 10.1442
_cell_angle_alpha 120.00
_cell_angle_beta 90.00
_cell_angle_gamma 90.00
_symmetry_space_group_name_H-M 'P 1'
_symmetry_Int_Tables_number 1
loop_
_symmetry_equiv_pos_as_xyz
'x,y,z'
loop_
_atom_site_label
_atom_site_type_symbol
_atom_site_fract_x
_atom_site_fract_y
_atom_site_fract_z
_atom_site_occupancy
Tc1 Tc 0.2601 0.1201 0.2518 1
B1 B 0.5000 0.0000 0.0000 1
B2 B 0.7505 0.2976 0.4144 1
Ce1 Ce 0.2506 0.3333 0.6667 1
Tc2 Tc 0.7463 0.3777 0.9430 1
B3 B 0.7505 0.1168 0.7024 1
Tc3 Tc 0.7463 0.0570 0.4346 1
Tc4 Tc 0.7399 0.8683 0.1201 1
Tc5 Tc 0.7399 0.8799 0.7482 1
Tc6 Tc 0.2537 0.4346 0.3777 1
B4 B 0.2495 0.4144 0.1168 1
Tc7 Tc 0.2601 0.7482 0.8683 1
B5 B 0.7505 0.5856 0.8832 1
Ce2 Ce 0.7494 0.6667 0.3333 1
B6 B 0.2495 0.7024 0.5856 1
B7 B 0.2495 0.8832 0.2976 1
Tc8 Tc 0.2537 0.6223 0.0570 1
Tc9 Tc 0.2537 0.9430 0.5654 1
Tc10 Tc 0.7463 0.5654 0.6223 1
Tc11 Tc 0.7399 0.2518 0.1317 1
Tc12 Tc 0.2601 0.1317 0.8799 1
# **ΔH_f (0 K)**: -0.155 eV per atom

***

(6)
# CeTcB (PBE, optimized geometry)
data_CeTcB
_cell_length_a 3.9900
_cell_length_b 3.9900
_cell_length_c 8.8260
_cell_angle_alpha 77.00
_cell_angle_beta 77.00
_cell_angle_gamma 60.03
_symmetry_space_group_name_H-M 'P 1'
_symmetry_Int_Tables_number 1
loop_
_symmetry_equiv_pos_as_xyz
'x,y,z'
loop_
_atom_site_label
_atom_site_type_symbol
_atom_site_fract_x
_atom_site_fract_y
_atom_site_fract_z
_atom_site_occupancy
Ce1 Ce 0.2685 0.2685 0.6930 1
Tc1 Tc 0.8474 0.8474 0.9575 1
Ce2 Ce 0.7315 0.7315 0.3070 1
B1 B 0.5357 0.5357 0.8920 1
Tc2 Tc 0.1526 0.1526 0.0425 1
B2 B 0.4643 0.4643 0.1080 1
# **ΔH_f (0 K)**: 0.028 eV per atom

***

(7)
# CeTc3B3 (PBE, optimized geometry)
data_CeTc3B3
_cell_length_a 3.1221
_cell_length_b 8.1534
_cell_length_c 8.1531
_cell_angle_alpha 119.99
_cell_angle_beta 90.00
_cell_angle_gamma 90.00
_symmetry_space_group_name_H-M 'P 1'
_symmetry_Int_Tables_number 1
loop_
_symmetry_equiv_pos_as_xyz
'x,y,z'
loop_
_atom_site_label
_atom_site_type_symbol
_atom_site_fract_x
_atom_site_fract_y
_atom_site_fract_z
_atom_site_occupancy
B1 B 0.2500 0.4295 0.4654 1
B2 B 0.2500 0.5346 0.9640 1
B3 B 0.2500 0.0359 0.5705 1
Ce1 Ce 0.7500 0.3333 0.6667 1
Tc1 Tc 0.7500 0.3117 0.2375 1
B4 B 0.7500 0.9641 0.4295 1
Tc2 Tc 0.2500 0.0742 0.3116 1
Tc3 Tc 0.7500 0.9258 0.6884 1
B5 B 0.7500 0.5705 0.5346 1
Tc4 Tc 0.2500 0.2374 0.9258 1
B6 B 0.7500 0.4654 0.0360 1
Tc5 Tc 0.7500 0.7626 0.0742 1
Ce2 Ce 0.2500 0.6667 0.3333 1
Tc6 Tc 0.2500 0.6883 0.7625 1
# **ΔH_f (0 K)**: -0.234 eV per atom

***

(8)
# CeTcB (PBE, optimized geometry)
data_CeTcB
_cell_length_a 3.0834
_cell_length_b 3.0834
_cell_length_c 5.3306
_cell_angle_alpha 106.81
_cell_angle_beta 106.81
_cell_angle_gamma 90.00
_symmetry_space_group_name_H-M 'P 1'
_symmetry_Int_Tables_number 1
loop_
_symmetry_equiv_pos_as_xyz
'x,y,z'
loop_
_atom_site_label
_atom_site_type_symbol
_atom_site_fract_x
_atom_site_fract_y
_atom_site_fract_z
_atom_site_occupancy
Tc1 Tc 0.2727 0.2727 0.5454 1
B1 B 0.7164 0.7164 0.4329 1
Ce1 Ce 0.0108 0.0108 0.0217 1
# **ΔH_f (0 K)**: -0.212 eV per atom

***

(9)
# CeTcB4 (PBE, optimized geometry)
data_CeTcB4
_cell_length_a 3.6763
_cell_length_b 6.0002
_cell_length_c 11.6206
_cell_angle_alpha 90.00
_cell_angle_beta 90.00
_cell_angle_gamma 90.00
_symmetry_space_group_name_H-M 'P 1'
_symmetry_Int_Tables_number 1
loop_
_symmetry_equiv_pos_as_xyz
'x,y,z'
loop_
_atom_site_label
_atom_site_type_symbol
_atom_site_fract_x
_atom_site_fract_y
_atom_site_fract_z
_atom_site_occupancy
Tc1 Tc 0.0000 0.3638 0.9090 1
B1 B 0.5000 0.1378 0.9685 1
B2 B 0.5000 0.2855 0.3151 1
Tc2 Tc 0.0000 0.8638 0.5910 1
B3 B 0.5000 0.0242 0.6907 1
B4 B 0.5000 0.3622 0.4685 1
B5 B 0.5000 0.5242 0.8093 1
Ce1 Ce 0.0000 0.1268 0.1503 1
B6 B 0.5000 0.9758 0.3093 1
Ce2 Ce 0.0000 0.3732 0.6503 1
Ce3 Ce 0.0000 0.8732 0.8497 1
B7 B 0.5000 0.8883 0.4539 1
B8 B 0.5000 0.1117 0.5461 1
B9 B 0.5000 0.6117 0.9539 1
B10 B 0.5000 0.4758 0.1907 1
Ce4 Ce 0.0000 0.6268 0.3497 1
B11 B 0.5000 0.8622 0.0315 1
B12 B 0.5000 0.7145 0.6849 1
Tc3 Tc 0.0000 0.1362 0.4090 1
B13 B 0.5000 0.7855 0.1849 1
B14 B 0.5000 0.2145 0.8151 1
Tc4 Tc 0.0000 0.6362 0.0910 1
B15 B 0.5000 0.3883 0.0461 1
B16 B 0.5000 0.6378 0.5315 1
# **ΔH_f (0 K)**: -0.617 eV per atom

***

(10)
# CeBTe (PBE, optimized geometry)
data_CeBTe
_cell_length_a 4.0183
_cell_length_b 5.5511
_cell_length_c 6.6152
_cell_angle_alpha 89.61
_cell_angle_beta 90.00
_cell_angle_gamma 111.22
_symmetry_space_group_name_H-M 'P 1'
_symmetry_Int_Tables_number 1
loop_
_symmetry_equiv_pos_as_xyz
'x,y,z'
loop_
_atom_site_label
_atom_site_type_symbol
_atom_site_fract_x
_atom_site_fract_y
_atom_site_fract_z
_atom_site_occupancy
Ce1 Ce 0.1431 0.2861 0.6741 1
Te1 Te 0.1416 0.2832 0.1814 1
B1 B 0.5707 0.1414 0.4526 1
Ce2 Ce 0.8569 0.7139 0.3259 1
B2 B 0.4293 0.8586 0.5474 1
Te2 Te 0.8584 0.7168 0.8186 1
# **E_form (uncorrected)**: -0.4402 eV per atom